Entry 1:
The following is a PBE calculation of a relaxed Tb2Pr2Nd2Sm crystal, from Alexandria.

Unit cell a=11.516 b=5.160 c=8.182 alpha=90.00 beta=98.09 gamma=90.00
Space group C2/m (No. 12)
Asymmetric unit:
1 Tb 0.072 0.000 0.213 (multiplicity 4)
2 Pr 0.214 0.000 0.643 (multiplicity 4)
3 Nd 0.142 0.500 0.928 (multiplicity 4)
4 Sm 0.000 0.500 0.500 (multiplicity 2)

Computed properties:
As for the total magnetic moment: 0.000 μB per formula unit. The formation enthalpy at 0 K comes out at 0.100 eV/f.u.



Entry 2:
The following is a PBE calculation of a relaxed CeYCo crystal, from Alexandria.

Unit cell a=3.368 b=3.368 c=12.439 alpha=90.00 beta=90.00 gamma=90.00
Space group I4mm (No. 107)
Asymmetric unit:
1 Ce 0.000 0.000 0.000 (multiplicity 2)
2 Y 0.000 0.000 0.259 (multiplicity 2)
3 Co 0.000 0.000 0.617 (multiplicity 2)

Computed properties:
The calculation puts the energy above the lowest structure with this stoichiometry at 128.7 meV/atom. As for the total magnetic moment: 0.701 μB per formula unit. The formation enthalpy at 0 K comes out at -0.143 eV/f.u.



Entry 3:
The following is a PBE calculation of a relaxed BeCdGePt2 crystal, from Alexandria.

Unit cell a=5.009 b=5.009 c=4.788 alpha=90.00 beta=90.00 gamma=90.00
Space group P4/mmm (No. 123)
Asymmetric unit:
1 Be 0.000 0.000 0.000 (multiplicity 1)
2 Cd 0.500 0.500 0.500 (multiplicity 1)
3 Ge 0.500 0.500 0.000 (multiplicity 1)
4 Pt 0.000 0.500 0.500 (multiplicity 2)

Computed properties:
As for the total magnetic moment: 0.000 μB per formula unit. The formation enthalpy at 0 K comes out at 7.309 eV/f.u.